Density functional theory data (PBE) for a geometry-optimized Zr7Pt structure.

Summary:
- ΔH_f (0 K): -99 kJ/mol of formula units
- Total energy: -66.91 eV per formula unit

abc: 8.874 8.874 8.874
angles: 90.00 90.00 90.00
Space group Fm-3m (No. 225)
One atom of each set of equivalent atoms:
1 Zr 0.000 0.000 0.000
2 Zr 0.000 0.250 0.250
3 Pt 0.000 0.000 0.500

Density functional theory data (PBE) for a geometry-optimized KRb2Tl3 structure.

Summary:
- ΔH_f (0 K): -30 kJ/mol of formula units
- Total energy: -10.44 eV per formula unit

abc: 11.905 6.922 7.357
angles: 90.00 122.67 90.00
Space group C2/m (No. 12)
One atom of each set of equivalent atoms:
1 K 0.000 0.000 0.000
2 Rb 0.111 0.500 0.832
3 Tl 0.000 0.000 0.500
4 Tl 0.250 0.250 0.500

Density functional theory data (PBE) for a geometry-optimized PmPr2Sm6Y structure.

Summary:
- ΔH_f (0 K): 111 kJ/mol of formula units
- Total energy: -47.93 eV per formula unit

abc: 9.162 15.402 9.918
angles: 90.00 98.94 90.00
Space group C2/c (No. 15)
One atom of each set of equivalent atoms:
1 Pm 0.000 0.094 0.250
2 Pr 0.242 0.447 0.041
3 Sm 0.064 0.311 0.444
4 Sm 0.106 0.103 0.620
5 Sm 0.199 0.277 0.812
6 Y 0.000 0.482 0.750

Density functional theory data (PBE) for a geometry-optimized Pm4Bi3C structure.

Summary:
- ΔH_f (0 K): -330 kJ/mol of formula units
- Total energy: -43.29 eV per formula unit

abc: 8.694 9.854 6.457
angles: 90.00 90.00 90.00
Space group Pmn2_1 (No. 31)
One atom of each set of equivalent atoms:
1 Pm 0.000 0.038 0.000
2 Pm 0.000 0.792 0.438
3 Pm 0.229 0.678 0.991
4 Bi 0.000 0.098 0.505
5 Bi 0.184 0.353 0.997
6 C 0.000 0.799 0.069

Density functional theory data (PBE) for a geometry-optimized SrMo4Ru structure.

Summary:
- ΔH_f (0 K): 398 kJ/mol of formula units
- Total energy: -50.16 eV per formula unit

abc: 7.606 7.606 7.606
angles: 90.00 90.00 90.00
Space group F-43m (No. 216)
One atom of each set of equivalent atoms:
1 Sr 0.000 0.000 0.000
2 Mo 0.125 0.125 0.625
3 Ru 0.250 0.250 0.250

Density functional theory data (PBE) for a geometry-optimized NaZr2N structure.

Summary:
- ΔE_f (raw): -0.57 eV/atom
- Total energy: -29.03 eV per formula unit

abc: 3.2889 3.2889 26.8357
angles: 90.00 90.00 120.00
Space group R-3m (No. 166, hexagonal axes)
One atom of each set of equivalent atoms:
1 Na 0.0000 0.0000 0.0000
2 Zr 0.0000 0.0000 0.1209
3 N 0.0000 0.0000 0.5000

Density functional theory data (PBE) for a geometry-optimized V3AsC structure.

Summary:
- ΔH_f (0 K): -248 kJ/mol of formula units
- Total energy: -43.80 eV per formula unit

abc: 3.099 10.269 7.689
angles: 90.00 90.00 90.00
Space group Cmcm (No. 63)
One atom of each set of equivalent atoms:
1 V 0.000 0.046 0.250
2 V 0.000 0.374 0.050
3 As 0.000 0.259 0.750
4 C 0.000 0.000 0.000

Density functional theory data (PBE) for a geometry-optimized Te2PtPb structure.

Summary:
- ΔE_f (raw): 0.27 eV/atom
- Total energy: -14.95 eV per formula unit

abc: 4.5838 4.5838 25.2781
angles: 90.00 90.00 120.00
Space group R-3m (No. 166, hexagonal axes)
One atom of each set of equivalent atoms:
1 Te 0.0000 0.0000 0.0979
2 Pt 0.0000 0.0000 0.0000
3 Pb 0.0000 0.0000 0.5000

Density functional theory data (PBE) for a geometry-optimized GaPd12Au7 structure.

Summary:
- ΔH_f (0 K): -21 kJ/mol of formula units
- Total energy: -88.50 eV per formula unit

abc: 9.8166 9.8166 12.2362
angles: 90.00 90.00 120.00
Space group R-3 (No. 148, hexagonal axes)
One atom of each set of equivalent atoms:
1 Ga 0.0000 0.0000 0.0000
2 Pd 0.0455 0.5824 0.7106
3 Pd 0.0559 0.4591 0.0857
4 Au 0.0000 0.0000 0.5000
5 Au 0.0460 0.8586 0.7955

Density functional theory data (PBE) for a geometry-optimized Pr3Al3Rh2 structure.

Summary:
- ΔH_f (0 K): -507 kJ/mol of formula units
- Total energy: -45.53 eV per formula unit

abc: 8.062 15.400 5.890
angles: 90.00 90.00 90.00
Space group Pnma (No. 62)
One atom of each set of equivalent atoms:
1 Pr 0.028 0.108 0.101
2 Pr 0.164 0.250 0.604
3 Al 0.157 0.036 0.591
4 Al 0.183 0.750 0.592
5 Rh 0.135 0.603 0.365

Density functional theory data (PBE) for a geometry-optimized Cd2InPb6 structure.

Summary:
- ΔH_f (0 K): 26 kJ/mol of formula units
- Total energy: -26.55 eV per formula unit

abc: 14.319 4.849 8.020
angles: 90.00 107.88 90.00
Space group C2/m (No. 12)
One atom of each set of equivalent atoms:
1 Cd 0.054 0.000 0.338
2 In 0.000 0.500 0.000
3 Pb 0.106 0.500 0.665
4 Pb 0.158 0.000 0.996
5 Pb 0.216 0.500 0.335

Density functional theory data (PBE) for a geometry-optimized Ca2SeCl2 structure.

Summary:
- ΔE_f (raw): -1.89 eV/atom
- Total energy: -20.64 eV per formula unit

abc: 7.895 7.895 4.117
angles: 90.00 90.00 90.00
Space group P4/mbm (No. 127)
One atom of each set of equivalent atoms:
1 Ca 0.190 0.310 0.000
2 Se 0.000 0.000 0.000
3 Cl 0.137 0.637 0.500

Density functional theory data (PBE) for a geometry-optimized Ca2LaPb structure.

Summary:
- ΔH_f (0 K): -103 kJ/mol of formula units
- Total energy: -13.71 eV per formula unit

abc: 4.482 5.340 11.622
angles: 90.00 90.00 90.00
Space group Immm (No. 71)
One atom of each set of equivalent atoms:
1 Ca 0.000 0.000 0.221
2 La 0.000 0.500 0.000
3 Pb 0.000 0.500 0.500

Density functional theory data (PBE) for a geometry-optimized Pu2HgP structure.

Summary:
- ΔH_f (0 K): -228 kJ/mol of formula units
- Total energy: -36.74 eV per formula unit

abc: 3.527 3.527 7.449
angles: 90.00 90.00 90.00
Space group P4/mmm (No. 123)
One atom of each set of equivalent atoms:
1 Pu 0.000 0.000 0.206
2 Hg 0.500 0.500 0.500
3 P 0.500 0.500 0.000

Density functional theory data (PBE) for a geometry-optimized LiZn2Se structure.

Summary:
- ΔE_f (raw): -0.12 eV/atom
- Total energy: -8.45 eV per formula unit

abc: 3.8939 3.8939 17.9498
angles: 90.00 90.00 120.00
Space group R-3m (No. 166, hexagonal axes)
One atom of each set of equivalent atoms:
1 Li 0.0000 0.0000 0.0000
2 Zn 0.0000 0.0000 0.2491
3 Se 0.0000 0.0000 0.5000

Density functional theory data (PBE) for a geometry-optimized MoPtCl2 structure.

Summary:
- ΔE_f (raw): -0.14 eV/atom
- Total energy: -21.12 eV per formula unit

abc: 6.626 3.493 8.420
angles: 90.00 104.82 90.00
Space group Cm (No. 8)
One atom of each set of equivalent atoms:
1 Mo 0.000 0.000 0.000
2 Pt 0.253 0.000 0.829
3 Cl 0.146 0.500 0.207
4 Cl 0.468 0.000 0.625

Density functional theory data (PBE) for a geometry-optimized MgAgO3 structure.

Summary:
- ΔE_f (raw): -0.22 eV/atom
- Total energy: -20.42 eV per formula unit

abc: 3.950 3.950 3.950
angles: 90.00 90.00 90.00
Space group Pm-3m (No. 221)
One atom of each set of equivalent atoms:
1 Mg 0.000 0.000 0.000
2 Ag 0.500 0.500 0.500
3 O 0.000 0.500 0.500

Density functional theory data (PBE) for a geometry-optimized Sm4Zn2Pd structure.

Summary:
- ΔH_f (0 K): -214 kJ/mol of formula units
- Total energy: -28.83 eV per formula unit

abc: 7.294 10.104 5.028
angles: 90.00 90.00 90.00
Space group Cmmm (No. 65)
One atom of each set of equivalent atoms:
1 Sm 0.248 0.000 0.000
2 Sm 0.250 0.250 0.500
3 Zn 0.000 0.253 0.000
4 Pd 0.000 0.000 0.500

Density functional theory data (PBE) for a geometry-optimized Ho4Pt6O19 structure.

Summary:
- ΔE_f (raw): -1.49 eV/atom
- Total energy: -191.87 eV per formula unit

abc: 9.045 9.045 9.045
angles: 90.00 90.00 90.00
Space group I23 (No. 197)
One atom of each set of equivalent atoms:
1 Ho 0.147 0.147 0.853
2 Pt 0.000 0.341 0.500
3 O 0.000 0.000 0.000
4 O 0.000 0.000 0.332
5 O 0.017 0.321 0.717

Density functional theory data (PBE) for a geometry-optimized Mg2Ag structure.

Summary:
- ΔH_f (0 K): -20 kJ/mol of formula units
- Total energy: -6.24 eV per formula unit

abc: 3.184 4.956 7.987
angles: 90.00 90.00 90.00
Space group Immm (No. 71)
One atom of each set of equivalent atoms:
1 Mg 0.000 0.000 0.193
2 Ag 0.000 0.500 0.000

Density functional theory data (PBE) for a geometry-optimized TbPm2YHo structure.

Summary:
- ΔH_f (0 K): 200 kJ/mol of formula units
- Total energy: -23.11 eV per formula unit

abc: 8.347 11.619 7.240
angles: 90.00 90.00 90.00
Space group Cmcm (No. 63)
One atom of each set of equivalent atoms:
1 Tb 0.000 0.028 0.250
2 Pm 0.193 0.500 0.000
3 Y 0.000 0.257 0.750
4 Ho 0.000 0.290 0.250

Density functional theory data (PBE) for a geometry-optimized Pm8GePb3 structure.

Summary:
- ΔH_f (0 K): -373 kJ/mol of formula units
- Total energy: -57.62 eV per formula unit

abc: 7.418 7.418 14.883
angles: 90.00 90.00 90.00
Space group I4/mmm (No. 139)
One atom of each set of equivalent atoms:
1 Pm 0.243 0.243 0.121
2 Ge 0.000 0.000 0.000
3 Pb 0.000 0.000 0.500
4 Pb 0.000 0.500 0.250